#P
The following is a DFT calculation (GGA-PBE) of a relaxed LuBeInCu crystal.

```
4
Lattice="0.000 3.229 3.229 3.229 0.000 3.229 3.229 3.229 0.000" Properties=species:S:1:pos:R:3 pbc="T T T"
Lu 0.000 0.000 0.000
Be 1.615 1.615 1.615
In 3.229 3.229 3.229
Cu 4.844 4.844 4.844
```

Calculated values
**Symmetry**: No. 216

=====

#Q
The following is a DFT calculation (GGA-PBE) of a relaxed LuBeInCu crystal.

```
4
Lattice="0.000 3.278 3.278 3.278 0.000 3.278 3.278 3.278 0.000" Properties=species:S:1:pos:R:3 pbc="T T T"
Lu 0.000 0.000 0.000
Be 4.917 4.917 4.917
In 1.639 1.639 1.639
Cu 3.278 3.278 3.278
```

Calculated values
**Symmetry**: No. 216

=====

Most stable of them? #P.

=====

#P
The following is a DFT calculation (GGA-PBE) of a relaxed MgBeInCu crystal.

```
4
Lattice="0.000 3.156 3.156 3.156 0.000 3.156 3.156 3.156 0.000" Properties=species:S:1:pos:R:3 pbc="T T T"
Mg 0.000 0.000 0.000
Be 3.156 3.156 3.156
In 1.578 1.578 1.578
Cu 4.734 4.734 4.734
```

Calculated values
**Symmetry**: No. 216

=====

#Q
The following is a DFT calculation (GGA-PBE) of a relaxed MgBeInCu crystal.

```
4
Lattice="0.000 3.146 3.146 3.146 0.000 3.146 3.146 3.146 0.000" Properties=species:S:1:pos:R:3 pbc="T T T"
Mg 0.000 0.000 0.000
Be 1.573 1.573 1.573
In 3.146 3.146 3.146
Cu 4.719 4.719 4.719
```

Calculated values
**Symmetry**: No. 216

=====

Most stable of them? #Q.

=====

#P
The following is a DFT calculation (GGA-PBE) of a relaxed BeInCuMo crystal.

```
4
Lattice="0.000 3.098 3.098 3.098 0.000 3.098 3.098 3.098 0.000" Properties=species:S:1:pos:R:3 pbc="T T T"
Be 0.000 0.000 0.000
In 3.098 3.098 3.098
Cu 4.646 4.646 4.646
Mo 1.549 1.549 1.549
```

Calculated values
**Symmetry**: No. 216

=====

#Q
The following is a DFT calculation (GGA-PBE) of a relaxed BeInCuMo crystal.

```
4
Lattice="0.000 3.073 3.073 3.073 0.000 3.073 3.073 3.073 0.000" Properties=species:S:1:pos:R:3 pbc="T T T"
Be 0.000 0.000 0.000
In 1.536 1.536 1.536
Cu 3.073 3.073 3.073
Mo 4.609 4.609 4.609
```

Calculated values
**Symmetry**: No. 216

=====

Most stable of them? #Q.

=====

#P
The following is a DFT calculation (GGA-PBE) of a relaxed BeInCuOs crystal.

```
4
Lattice="0.000 3.046 3.046 3.046 0.000 3.046 3.046 3.046 0.000" Properties=species:S:1:pos:R:3 pbc="T T T"
Be 0.000 0.000 0.000
In 3.046 3.046 3.046
Cu 4.569 4.569 4.569
Os 1.523 1.523 1.523
```

Calculated values
**Symmetry**: No. 216

=====

#Q
The following is a DFT calculation (GGA-PBE) of a relaxed BeInCuOs crystal.

```
4
Lattice="0.000 3.016 3.016 3.016 0.000 3.016 3.016 3.016 0.000" Properties=species:S:1:pos:R:3 pbc="T T T"
Be 0.000 0.000 0.000
In 1.508 1.508 1.508
Cu 3.016 3.016 3.016
Os 4.523 4.523 4.523
```

Calculated values
**Symmetry**: No. 216

=====

Most stable of them? #Q.

=====

#P
The following is a DFT calculation (GGA-PBE) of a relaxed BeInCuRe crystal.

```
4
Lattice="0.000 3.065 3.065 3.065 0.000 3.065 3.065 3.065 0.000" Properties=species:S:1:pos:R:3 pbc="T T T"
Be 0.000 0.000 0.000
In 3.065 3.065 3.065
Cu 4.597 4.597 4.597
Re 1.532 1.532 1.532
```

Calculated values
**Symmetry**: No. 216

=====

#Q
The following is a DFT calculation (GGA-PBE) of a relaxed BeInCuRe crystal.

```
4
Lattice="0.000 3.029 3.029 3.029 0.000 3.029 3.029 3.029 0.000" Properties=species:S:1:pos:R:3 pbc="T T T"
Be 0.000 0.000 0.000
In 1.514 1.514 1.514
Cu 3.029 3.029 3.029
Re 4.543 4.543 4.543
```

Calculated values
**Symmetry**: No. 216

=====

Most stable of them? #Q.

=====

#P
The following is a DFT calculation (GGA-PBE) of a relaxed TaBeInCu crystal.

```
4
Lattice="0.000 3.107 3.107 3.107 0.000 3.107 3.107 3.107 0.000" Properties=species:S:1:pos:R:3 pbc="T T T"
Ta 0.000 0.000 0.000
Be 1.554 1.554 1.554
In 3.107 3.107 3.107
Cu 4.661 4.661 4.661
```

Calculated values
**Symmetry**: No. 216

=====

#Q
The following is a DFT calculation (GGA-PBE) of a relaxed TaBeInCu crystal.

```
4
Lattice="0.000 3.152 3.152 3.152 0.000 3.152 3.152 3.152 0.000" Properties=species:S:1:pos:R:3 pbc="T T T"
Ta 0.000 0.000 0.000
Be 4.729 4.729 4.729
In 1.576 1.576 1.576
Cu 3.152 3.152 3.152
```

Calculated values
**Symmetry**: No. 216

=====

Most stable of them? #P.

=====

#P
The following is a DFT calculation (GGA-PBE) of a relaxed ZrBeInCu crystal.

```
4
Lattice="0.000 3.179 3.179 3.179 0.000 3.179 3.179 3.179 0.000" Properties=species:S:1:pos:R:3 pbc="T T T"
Zr 0.000 0.000 0.000
Be 1.589 1.589 1.589
In 3.179 3.179 3.179
Cu 4.768 4.768 4.768
```

Calculated values
**Symmetry**: No. 216

=====

#Q
The following is a DFT calculation (GGA-PBE) of a relaxed ZrBeInCu crystal.

```
4
Lattice="0.000 3.216 3.216 3.216 0.000 3.216 3.216 3.216 0.000" Properties=species:S:1:pos:R:3 pbc="T T T"
Zr 0.000 0.000 0.000
Be 4.823 4.823 4.823
In 1.608 1.608 1.608
Cu 3.216 3.216 3.216
```

Calculated values
**Symmetry**: No. 216

=====

Most stable of them? #P.

=====

#P
The following is a DFT calculation (GGA-PBE) of a relaxed Be2CuIr crystal.

```
4
Lattice="3.839 0.000 0.000 0.000 3.839 0.000 0.000 0.000 2.821" Properties=species:S:1:pos:R:3 pbc="T T T"
Be 0.000 1.919 0.000
Be 1.919 0.000 0.000
Cu 0.000 0.000 1.410
Ir 1.919 1.919 1.410
```

Calculated values
**Symmetry**: No. 123

=====

#Q
The following is a DFT calculation (GGA-PBE) of a relaxed Be2CuIr crystal.

```
4
Lattice="0.000 2.805 2.805 2.805 0.000 2.805 2.805 2.805 0.000" Properties=species:S:1:pos:R:3 pbc="T T T"
Be 0.000 0.000 0.000
Be 1.403 1.403 1.403
Cu 2.805 2.805 2.805
Ir 4.208 4.208 4.208
```

Calculated values
**Symmetry**: No. 216

=====

Most stable of them? #P.

=====

#P
The following is a DFT calculation (GGA-PBE) of a relaxed BeCuIrW crystal.

```
4
Lattice="0.000 2.971 2.971 2.971 0.000 2.971 2.971 2.971 0.000" Properties=species:S:1:pos:R:3 pbc="T T T"
Be 0.000 0.000 0.000
Cu 4.456 4.456 4.456
Ir 2.971 2.971 2.971
W 1.485 1.485 1.485
```

Calculated values
**Symmetry**: No. 216

=====

#Q
The following is a DFT calculation (GGA-PBE) of a relaxed BeCuIrW crystal.

```
4
Lattice="0.000 2.927 2.927 2.927 0.000 2.927 2.927 2.927 0.000" Properties=species:S:1:pos:R:3 pbc="T T T"
Be 0.000 0.000 0.000
Cu 2.927 2.927 2.927
Ir 1.464 1.464 1.464
W 4.391 4.391 4.391
```

Calculated values
**Symmetry**: No. 216

=====

#R
The following is a DFT calculation (GGA-PBE) of a relaxed BeCuIrW crystal.

```
4
Lattice="0.000 2.978 2.978 2.978 0.000 2.978 2.978 2.978 0.000" Properties=species:S:1:pos:R:3 pbc="T T T"
Be 0.000 0.000 0.000
Cu 1.489 1.489 1.489
Ir 4.466 4.466 4.466
W 2.978 2.978 2.978
```

Calculated values
**Symmetry**: No. 216

=====

Most stable of them? #R.

=====

#P
The following is a DFT calculation (GGA-PBE) of a relaxed LiBeCuPb crystal.

```
4
Lattice="0.000 3.095 3.095 3.095 0.000 3.095 3.095 3.095 0.000" Properties=species:S:1:pos:R:3 pbc="T T T"
Li 0.000 0.000 0.000
Be 3.095 3.095 3.095
Cu 4.642 4.642 4.642
Pb 1.547 1.547 1.547
```

Calculated values
**Symmetry**: No. 216

=====

#Q
The following is a DFT calculation (GGA-PBE) of a relaxed LiBeCuPb crystal.

```
4
Lattice="0.000 3.121 3.121 3.121 0.000 3.121 3.121 3.121 0.000" Properties=species:S:1:pos:R:3 pbc="T T T"
Li 0.000 0.000 0.000
Be 4.682 4.682 4.682
Cu 3.121 3.121 3.121
Pb 1.561 1.561 1.561
```

Calculated values
**Symmetry**: No. 216

=====

Most stable of them? #P.

=====

#P
The following is a DFT calculation (GGA-PBE) of a relaxed LiBeCuSi crystal.

```
4
Lattice="0.000 2.808 2.808 2.808 0.000 2.808 2.808 2.808 0.000" Properties=species:S:1:pos:R:3 pbc="T T T"
Li 0.000 0.000 0.000
Be 1.404 1.404 1.404
Cu 2.808 2.808 2.808
Si 4.212 4.212 4.212
```

Calculated values
**Symmetry**: No. 216

=====

#Q
The following is a DFT calculation (GGA-PBE) of a relaxed LiBeCuSi crystal.

```
4
Lattice="0.000 2.812 2.812 2.812 0.000 2.812 2.812 2.812 0.000" Properties=species:S:1:pos:R:3 pbc="T T T"
Li 0.000 0.000 0.000
Be 4.218 4.218 4.218
Cu 1.406 1.406 1.406
Si 2.812 2.812 2.812
```

Calculated values
**Symmetry**: No. 216

=====

Most stable of them? #Q.

=====

#P
The following is a DFT calculation (GGA-PBE) of a relaxed LuBeCu crystal.

```
3
Lattice="0.000 2.971 2.971 2.971 0.000 2.971 2.971 2.971 0.000" Properties=species:S:1:pos:R:3 pbc="T T T"
Lu 0.000 0.000 0.000
Be 4.457 4.457 4.457
Cu 2.971 2.971 2.971
```

Calculated values
**Symmetry**: No. 216

=====

#Q
The following is a DFT calculation (GGA-PBE) of a relaxed LuBeCu crystal.

```
3
Lattice="0.000 3.029 3.029 3.029 0.000 3.029 3.029 3.029 0.000" Properties=species:S:1:pos:R:3 pbc="T T T"
Lu 0.000 0.000 0.000
Be 3.029 3.029 3.029
Cu 4.543 4.543 4.543
```

Calculated values
**Symmetry**: No. 216

=====

Most stable of them? #Q.